No. 1
TiPb, relaxed, DFT PBE-GGA; E_form = 0.221 eV/f.u.; M_tot = 0.0 μB per formula unit; raw total energy = -5.69 eV per atom
1.0
-0.235 2.697 -1.799
-1.955 -2.527 -0.598
-3.180 1.744 3.029
Pb Ti
1 1
direct
0.667 0.333 0.000
0.000 0.000 0.500

***

No. 2
Zn2FeOs, relaxed, DFT PBE-GGA; E_form = 1.087 eV/f.u.; M_tot = 3.0 μB per formula unit; raw total energy = -5.29 eV per atom
1.0
0.000 2.997 2.997
2.997 0.000 2.997
2.997 2.997 0.000
Fe Os Zn
1 1 2
direct
0.000 0.000 0.000
0.500 0.500 0.500
0.250 0.250 0.250
0.750 0.750 0.750

***

No. 3
CaRu2IBr, relaxed, DFT PBE-GGA; M_tot = 1.6 μB per formula unit; raw total energy = -3.95 eV per atom
1.0
-4.145 2.258 0.855
-2.967 -3.701 -4.608
-1.095 -3.271 3.333
Br Ru Ca I
1 2 1 1
direct
0.000 0.500 0.000
0.500 0.000 0.000
0.000 0.000 0.500
0.500 0.500 0.500
0.000 0.000 0.000

***

No. 4
Li2TmThTl4, relaxed, DFT PBE-GGA; E_form = -1.609 eV/f.u.; M_tot = 0.0 μB per formula unit; raw total energy = -3.35 eV per atom
1.0
5.233 0.000 0.000
2.616 4.532 0.000
2.616 1.511 8.569
Th Li Tl Tm
1 2 4 1
direct
0.000 0.000 0.000
0.751 0.751 0.747
0.249 0.249 0.253
0.128 0.128 0.616
0.872 0.872 0.384
0.622 0.622 0.135
0.378 0.378 0.865
0.500 0.500 0.500

***

No. 5
Dy2HoCu, relaxed, DFT PBE-GGA; E_form = -0.252 eV/f.u.; M_tot = 0.0 μB per formula unit; raw total energy = -4.53 eV per atom
1.0
4.894 0.000 0.000
-2.447 5.756 0.000
0.000 0.000 7.539
Dy Cu Ho
4 2 2
direct
0.647 0.295 0.468
0.647 0.295 0.032
0.353 0.705 0.968
0.353 0.705 0.532
0.201 0.402 0.250
0.799 0.598 0.750
0.956 0.912 0.250
0.044 0.088 0.750

***

No. 6
LiSm2DyIn4, relaxed, DFT PBE-GGA; E_form = -3.437 eV/f.u.; M_tot = 0.0 μB per formula unit; raw total energy = -3.79 eV per atom
1.0
5.254 0.000 0.000
2.627 4.550 0.000
2.627 1.517 8.795
In Sm Dy Li
4 2 1 1
direct
0.874 0.874 0.377
0.624 0.624 0.128
0.126 0.126 0.623
0.376 0.376 0.872
0.755 0.755 0.735
0.245 0.245 0.265
0.000 0.000 0.000
0.500 0.500 0.500

***

No. 7
CaLa2PrAs4, relaxed, DFT PBE-GGA; E_form = -10.946 eV/f.u.; M_tot = 0.0 μB per formula unit; raw total energy = -5.77 eV per atom
1.0
4.350 0.000 0.000
0.000 7.478 -0.129
0.000 2.650 7.044
As La Pr Ca
4 2 1 1
direct
0.000 0.748 0.752
0.500 0.251 0.751
0.000 0.252 0.248
0.500 0.749 0.249
0.000 0.000 0.000
0.500 0.000 0.500
0.500 0.500 0.000
0.000 0.500 0.500

***

No. 8
ScGaSnI2, relaxed, DFT PBE-GGA; M_tot = 2.1 μB per formula unit; raw total energy = -2.89 eV per atom
1.0
6.089 0.000 0.000
0.000 5.432 0.000
0.000 0.000 6.089
Ga I Sc Sn
1 2 1 1
direct
0.000 0.500 0.000
0.500 0.000 0.000
0.000 0.000 0.500
0.500 0.500 0.500
0.000 0.000 0.000